No. 1
Compound: BaSr2Pd9
Source: Alexandria via LeMat-Bulk
Functional: PBE-GGA
Structure: optimized geometry

```
data_BaSr2Pd9
_symmetry_space_group_name_H-M 'R -3 m'
_symmetry_Int_Tables_number 166
_symmetry_space_group_name_Hall '-R 3 2"'
_cell_length_a 5.5827
_cell_length_b 5.5827
_cell_length_c 27.1104
_cell_angle_alpha 90.00
_cell_angle_beta 90.00
_cell_angle_gamma 120.00
loop_
_atom_site_label
_atom_site_type_symbol
_atom_site_fract_x
_atom_site_fract_y
_atom_site_fract_z
Ba1 Ba 0.0000 0.0000 0.0000
Sr1 Sr 0.0000 0.0000 0.1401
Pd1 Pd 0.0000 0.0000 0.3324
Pd2 Pd 0.0000 0.0000 0.5000
Pd3 Pd 0.0015 0.5007 0.9160
```

DFT formation energy (eV per atom): -0.503

No. 2
Compound: AcTcSb
Source: Alexandria via LeMat-Bulk
Functional: PBE-GGA
Structure: optimized geometry

```
data_AcTcSb
_symmetry_space_group_name_H-M 'I 4 m m'
_symmetry_Int_Tables_number 107
_symmetry_space_group_name_Hall 'I 4 -2'
_cell_length_a 3.512
_cell_length_b 3.512
_cell_length_c 12.105
_cell_angle_alpha 90.00
_cell_angle_beta 90.00
_cell_angle_gamma 90.00
loop_
_atom_site_label
_atom_site_type_symbol
_atom_site_fract_x
_atom_site_fract_y
_atom_site_fract_z
Ac1 Ac 0.000 0.000 0.000
Tc1 Tc 0.000 0.000 0.679
Sb1 Sb 0.000 0.000 0.282
```

Energy relative to the elements, uncorrected (eV/atom): -0.1332
Distance to the lowest polymorph of the same formula (meV/atom): 0

No. 3
Compound: Y3InFe
Source: Alexandria via LeMat-Bulk
Functional: PBE-GGA
Structure: optimized geometry

```
data_Y3InFe
_symmetry_space_group_name_H-M 'P m -3 m'
_symmetry_Int_Tables_number 221
_symmetry_space_group_name_Hall '-P 4 2 3'
_cell_length_a 5.160
_cell_length_b 5.160
_cell_length_c 5.160
_cell_angle_alpha 90.00
_cell_angle_beta 90.00
_cell_angle_gamma 90.00
loop_
_atom_site_label
_atom_site_type_symbol
_atom_site_fract_x
_atom_site_fract_y
_atom_site_fract_z
Y1 Y 0.000 0.000 0.500
In1 In 0.500 0.500 0.500
Fe1 Fe 0.000 0.000 0.000
```

DFT formation energy (eV per atom): -0.042
Distance to the lowest polymorph of the same formula (meV/atom): 0

No. 4
Compound: LaNiB2Ru
Source: Alexandria via LeMat-Bulk
Functional: PBE-GGA
Structure: optimized geometry

```
data_LaNiB2Ru
_symmetry_space_group_name_H-M 'I -4 m 2'
_symmetry_Int_Tables_number 119
_symmetry_space_group_name_Hall 'I -4 -2'
_cell_length_a 3.734
_cell_length_b 3.734
_cell_length_c 10.424
_cell_angle_alpha 90.00
_cell_angle_beta 90.00
_cell_angle_gamma 90.00
loop_
_atom_site_label
_atom_site_type_symbol
_atom_site_fract_x
_atom_site_fract_y
_atom_site_fract_z
La1 La 0.000 0.000 0.000
Ni1 Ni 0.000 0.500 0.250
B1 B 0.000 0.000 0.340
Ru1 Ru 0.000 0.500 0.750
```

DFT formation energy (eV per atom): -0.474

Number 1: total moment 0.0000 μB per atom. Number 2: total moment 0.0000 μB per atom. Number 3: total moment 0.0000 μB per atom. Number 4: total moment 0.0000 μB per atom.